GGA+U MoP5O15, optimized geometry; raw total energy = -7.06 eV per atom; calculated volume = 658.8 Å³/cell; crystal system = monoclinic
1.0
13.9462 0.0000 0.0000
0.0000 5.3368 0.0099
0.0000 2.1618 8.8560
Mo P O
2 10 30
direct
0.0000 0.5000 0.5000 Mo
0.5000 0.5000 0.5000 Mo
0.6421 0.0038 0.4784 P
0.4239 0.6582 0.8151 P
0.0761 0.6582 0.8151 P
0.1421 0.9962 0.5216 P
0.2500 0.5238 0.0019 P
0.5761 0.3418 0.1849 P
0.9239 0.3418 0.1849 P
0.3579 0.9962 0.5216 P
0.8579 0.0038 0.4784 P
0.7500 0.4762 0.9981 P
0.7500 0.2132 0.9627 O
0.1629 0.4781 0.8971 O
0.0323 0.4909 0.7152 O
0.4677 0.4909 0.7152 O
0.2500 0.7868 0.0373 O
0.6629 0.5219 0.1029 O
0.5323 0.5091 0.2848 O
0.9677 0.5091 0.2848 O
0.8371 0.5219 0.1029 O
0.1218 0.2846 0.4882 O
0.3782 0.2846 0.4882 O
0.5800 0.1557 0.5616 O
0.9200 0.1557 0.5616 O
0.2500 0.3288 0.1525 O
0.5149 0.2237 0.0907 O
0.6412 0.1184 0.3021 O
0.9851 0.2237 0.0907 O
0.8588 0.1184 0.3021 O
0.7500 0.0383 0.5271 O
0.2500 0.9617 0.4729 O
0.1412 0.8816 0.6979 O
0.0149 0.7763 0.9093 O
0.3588 0.8816 0.6979 O
0.4851 0.7763 0.9093 O
0.7500 0.6712 0.8475 O
0.0800 0.8443 0.4384 O
0.4200 0.8443 0.4384 O
0.6218 0.7154 0.5118 O
0.8782 0.7154 0.5118 O
0.3371 0.4781 0.8971 O